Compound: Mn3TlV
Source: Alexandria via LeMat-Bulk
Functional: GGA-PBE
Structure: relaxed

Results
Energy of formation, eV per atom: 0.915
E above lowest polymorph, meV/atom: 0.0

a = 4.523 Å, b = 4.523 Å, c = 4.523 Å
α = 90.00°, β = 90.00°, γ = 90.00°
Fractional positions:
Mn1 0.000 0.000 0.500
Mn2 0.000 0.500 0.000
Mn3 0.500 0.000 0.000
Tl1 0.500 0.500 0.500
V1 0.000 0.000 0.000

Compound: La2PtO4F
Source: Alexandria via LeMat-Bulk
Functional: GGA-PBE
Structure: relaxed

Results
ΔE_f (raw), eV/atom: -2.5122

a = 5.128 Å, b = 5.128 Å, c = 6.851 Å
α = 110.74°, β = 110.74°, γ = 41.71°
Fractional positions:
La1 0.188 0.188 0.212
La2 0.812 0.812 0.788
Pt1 0.000 0.000 0.500
O1 0.156 0.156 0.810
O2 0.385 0.385 0.556
O3 0.615 0.615 0.444
O4 0.844 0.844 0.190
F1 0.500 0.500 0.000